Density functional theory data (PBEsol) for NaCa2LaBr after structural relaxation.

Structure (POSCAR):
```
NaCa2LaBr
1.0
6.343 0.000 0.000
0.000 6.343 0.000
0.000 0.000 4.974
Na Ca La Br
1 2 1 1
Cartesian
0.000 0.000 0.000
0.000 3.172 0.000
3.172 0.000 0.000
3.172 3.172 2.487
0.000 0.000 2.487
```

Results
- Energy relative to the elements, uncorrected: 0.176 eV per atom
- Space group: P4/mmm (123)



Density functional theory data (PBEsol) for Tl2ZnNi after structural relaxation.

Structure (POSCAR):
```
Tl2ZnNi
1.0
1.630 0.941 8.626
-1.630 0.941 8.626
0.000 -1.882 8.626
Tl Zn Ni
2 1 1
Cartesian
0.000 0.000 0.000
0.000 0.000 5.787
0.000 0.000 19.628
0.000 0.000 12.508
```

Results
- Energy above the lowest structure with this stoichiometry: 0 meV per atom
- Formation energy: 0.92 eV per formula unit
- Space group: R3m (160)



Density functional theory data (PBEsol) for Y4ZrPb after structural relaxation.

Structure (POSCAR):
```
Y4ZrPb
1.0
0.000 4.375 4.375
4.375 0.000 4.375
4.375 4.375 0.000
Y Zr Pb
4 1 1
Cartesian
3.293 3.293 3.293
5.457 5.457 3.293
5.457 3.293 5.457
3.293 5.457 5.457
6.562 6.562 6.562
0.000 0.000 0.000
```

Results
- Formation energy: 1.94 eV per formula unit
- Space group: F-43m (216)



Density functional theory data (PBEsol) for Hg7Pb6 after structural relaxation.

Structure (POSCAR):
```
Hg7Pb6
1.0
3.027 1.748 10.620
-3.027 1.748 10.620
0.000 -3.495 10.620
Hg Pb
7 6
Cartesian
0.000 0.000 0.000
0.000 -1.727 8.154
-1.496 0.864 8.154
-1.496 -0.864 23.707
1.496 0.864 8.154
1.496 -0.864 23.707
0.000 1.727 23.707
0.000 0.000 5.247
0.000 0.000 10.997
0.000 0.000 14.348
0.000 0.000 17.513
0.000 0.000 20.864
0.000 0.000 26.614
```

Results
- Formation energy: 0.31 eV per formula unit
- Space group: R-3m (166)



Density functional theory data (PBEsol) for In3PtI after structural relaxation.

Structure (POSCAR):
```
In3PtI
1.0
5.200 0.000 0.000
0.000 5.200 0.000
0.000 0.000 5.200
In Pt I
3 1 1
Cartesian
0.000 0.000 2.600
0.000 2.600 0.000
2.600 0.000 0.000
0.000 0.000 0.000
2.600 2.600 2.600
```

Results
- Energy relative to the elements, uncorrected: -0.426 eV per atom
- Space group: Pm-3m (221)



Density functional theory data (PBEsol) for BeRe2Sb after structural relaxation.

Structure (POSCAR):
```
BeRe2Sb
1.0
4.371 -1.531 0.000
4.371 1.531 0.000
-1.393 0.000 4.439
Be Re Sb
1 2 1
Cartesian
0.000 0.000 0.000
1.123 0.000 3.958
3.706 0.000 2.625
6.109 0.000 1.549
```

Results
- Energy relative to the elements, uncorrected: 0.437 eV per atom
- Energy above the lowest structure with this stoichiometry: 0 meV per atom
- Space group: Cm (8)



Density functional theory data (PBEsol) for Mn3O5F after structural relaxation.

Structure (POSCAR):
```
Mn3O5F
1.0
8.582 0.000 0.000
0.000 3.086 3.222
0.000 -3.086 3.222
Mn O F
6 10 2
Cartesian
0.000 0.000 6.441
1.366 0.000 3.222
2.835 0.000 6.281
4.291 0.000 3.316
5.747 0.000 6.281
7.216 0.000 3.222
0.000 0.000 1.939
0.000 0.000 4.444
1.434 -1.872 3.150
1.434 1.872 3.150
2.802 0.000 4.410
4.291 -1.874 3.126
4.291 1.874 3.126
5.780 0.000 4.410
7.148 -1.872 3.150
7.148 1.872 3.150
2.861 0.000 1.851
5.721 0.000 1.851
```

Results
- Energy relative to the elements, uncorrected: -1.744 eV per atom
- Energy above the lowest structure with this stoichiometry: 0 meV per atom
- Space group: Amm2 (38)



Density functional theory data (PBEsol) for MnGaTe2N after structural relaxation.

Structure (POSCAR):
```
MnGaTe2N
1.0
5.299 0.000 0.000
0.000 5.299 0.000
0.000 0.000 3.421
Mn Ga Te N
1 1 2 1
Cartesian
0.000 0.000 0.000
2.650 2.650 1.710
0.000 2.650 0.000
2.650 0.000 0.000
0.000 0.000 1.710
```

Results
- Energy relative to the elements, uncorrected: 0.065 eV per atom
- Energy above the lowest structure with this stoichiometry: 0 meV per atom
- Space group: P4/mmm (123)



Density functional theory data (PBEsol) for LiMg2Zr after structural relaxation.

Structure (POSCAR):
```
LiMg2Zr
1.0
1.628 -2.469 0.000
1.628 2.469 0.000
0.000 0.000 10.426
Li Mg Zr
1 2 1
Cartesian
0.000 0.000 0.000
1.628 0.000 2.528
1.628 0.000 7.898
0.000 0.000 5.213
```

Results
- Formation energy: 0.15 eV per formula unit
- Space group: Cmmm (65)



Density functional theory data (PBEsol) for InW2Br after structural relaxation.

Structure (POSCAR):
```
InW2Br
1.0
3.319 0.000 0.000
0.000 4.927 0.000
-0.568 0.000 5.192
In W Br
1 2 1
Cartesian
0.000 0.000 0.000
0.889 2.464 0.897
1.862 2.464 4.295
1.376 0.000 2.596
```

Results
- Energy relative to the elements, uncorrected: 0.950 eV per atom
- Energy above the lowest structure with this stoichiometry: 472 meV per atom
- Space group: P2/m (10)



Density functional theory data (PBEsol) for Ca3Cd2Ga4 after structural relaxation.

Structure (POSCAR):
```
Ca3Cd2Ga4
1.0
5.397 -2.271 0.000
5.397 2.271 0.000
-4.227 0.000 16.113
Ca Cd Ga
6 4 8
Cartesian
0.000 0.000 0.000
-1.253 0.000 13.829
0.715 0.000 10.580
3.746 0.000 8.407
5.746 0.000 5.285
8.788 0.000 3.091
1.212 0.000 3.025
2.012 0.000 13.868
6.954 0.000 8.318
6.283 0.000 12.777
-2.480 0.000 10.697
0.506 0.000 7.375
3.233 0.000 0.932
2.512 0.000 5.442
5.561 0.000 2.072
3.842 0.000 11.600
7.573 0.000 0.140
8.971 0.000 6.247
```

Results
- Formation energy: -4.28 eV per formula unit
- Space group: Cm (8)



Density functional theory data (PBEsol) for Sr2B5BrO9 after structural relaxation.

Structure (POSCAR):
```
Sr2B5BrO9
1.0
11.411 0.000 0.000
0.000 11.539 0.000
0.000 0.000 6.475
Sr B Br O
8 20 4 36
Cartesian
0.549 2.840 0.000
2.730 5.388 4.261
2.976 11.157 1.023
5.156 8.610 3.238
6.255 2.929 3.238
8.435 0.382 1.023
8.682 6.151 4.261
10.862 8.699 0.000
0.059 8.686 3.461
2.004 8.373 1.977
2.347 9.365 4.264
2.482 2.348 3.076
2.729 0.398 4.515
2.976 6.168 1.277
3.224 8.117 6.314
3.359 3.596 1.026
3.702 2.603 5.215
5.647 2.916 0.223
5.765 8.622 0.223
7.710 8.936 5.215
8.053 7.943 1.026
8.187 3.422 6.314
8.435 5.371 1.277
8.682 11.141 4.515
8.930 9.191 3.076
9.064 2.173 4.264
9.407 3.166 1.977
11.352 2.853 3.461
0.000 0.000 0.815
0.000 5.769 5.608
5.706 0.000 2.371
5.706 5.769 4.052
0.543 8.306 2.243
0.893 9.115 4.463
1.278 2.962 3.769
2.093 8.702 0.561
2.433 0.859 3.264
2.532 2.547 1.645
2.618 7.052 2.288
2.654 9.397 2.821
2.699 10.635 4.918
3.007 4.866 1.681
3.051 3.628 6.059
3.088 1.283 5.525
3.173 8.317 4.883
3.273 6.628 0.026
3.613 2.932 3.798
4.427 8.732 0.531
4.813 3.346 1.225
5.163 2.536 5.480
6.249 9.003 5.480
6.599 8.193 1.225
6.984 2.807 0.531
7.798 8.606 3.798
8.139 4.911 0.026
8.238 3.222 4.883
8.324 10.256 5.525
8.360 7.911 6.059
8.405 6.673 1.681
8.713 0.903 4.918
8.757 2.142 2.821
8.793 4.486 2.288
8.879 8.992 1.645
8.978 10.680 3.264
9.319 2.837 0.561
10.133 8.577 3.769
10.518 2.424 4.463
10.868 3.233 2.243
```

Results
- Energy relative to the elements, uncorrected: -2.670 eV per atom
- Space group: Pnn2 (34)



Density functional theory data (PBEsol) for Ag2WCl after structural relaxation.

Structure (POSCAR):
```
Ag2WCl
1.0
-1.382 2.111 6.183
1.382 -2.111 6.183
1.382 2.111 -6.183
Ag W Cl
2 1 1
Cartesian
0.000 0.000 2.479
0.000 0.000 9.886
1.382 0.000 0.000
0.000 2.111 0.000
```

Results
- Energy relative to the elements, uncorrected: 0.712 eV per atom
- Energy above the lowest structure with this stoichiometry: 249 meV per atom
- Space group: Immm (71)



Density functional theory data (PBEsol) for Cd4Hg5 after structural relaxation.

Structure (POSCAR):
```
Cd4Hg5
1.0
-4.661 4.661 2.248
4.661 -4.661 2.248
4.661 4.661 -2.248
Cd Hg
4 5
Cartesian
3.128 0.000 0.000
6.194 0.000 0.000
0.000 3.128 0.000
0.000 6.194 0.000
0.000 0.000 0.000
3.092 3.092 0.000
1.569 -1.569 2.248
-1.569 1.569 2.248
1.569 1.569 2.248
```

Results
- Energy above the lowest structure with this stoichiometry: 0 meV per atom
- Formation energy: 0.06 eV per formula unit
- Space group: I4/mmm (139)



Density functional theory data (PBEsol) for Tl12In17 after structural relaxation.

Structure (POSCAR):
```
Tl12In17
1.0
-5.811 5.811 5.811
5.811 -5.811 5.811
5.811 5.811 -5.811
Tl In
12 17
Cartesian
8.263 1.105 -1.105
8.263 -1.105 1.105
3.358 1.105 1.105
4.705 4.705 -2.452
4.705 -2.452 4.705
1.105 3.358 1.105
1.105 1.105 3.358
1.105 8.263 -1.105
1.105 -1.105 8.263
-1.105 8.263 1.105
-1.105 1.105 8.263
-2.452 4.705 4.705
0.000 0.000 0.000
2.037 2.037 -2.037
5.216 1.604 -1.604
2.037 -2.037 2.037
5.216 -1.604 1.604
6.405 1.604 1.604
1.604 5.216 -1.604
1.604 -1.604 5.216
-2.037 2.037 2.037
4.206 4.206 0.594
4.206 0.594 4.206
-1.604 5.216 1.604
-1.604 1.604 5.216
3.773 3.773 3.773
1.604 6.405 1.604
1.604 1.604 6.405
0.594 4.206 4.206
```

Results
- Formation energy: 1.57 eV per formula unit
- Space group: I-43m (217)



Density functional theory data (PBEsol) for Fe2AgHg after structural relaxation.

Structure (POSCAR):
```
Fe2AgHg
1.0
2.774 0.000 0.000
0.000 3.876 0.000
0.000 0.000 5.543
Fe Ag Hg
2 1 1
Cartesian
0.000 0.000 1.289
0.000 0.000 4.254
1.387 1.938 0.000
1.387 1.938 2.772
```

Results
- Formation energy: 1.73 eV per formula unit
- Space group: Pmmm (47)



Density functional theory data (PBEsol) for LiMnHg2 after structural relaxation.

Structure (POSCAR):
```
LiMnHg2
1.0
-2.053 2.053 4.138
2.053 -2.053 4.138
2.053 2.053 -4.138
Li Mn Hg
1 1 2
Cartesian
0.000 0.000 0.000
0.000 2.053 2.069
2.053 0.000 2.069
0.000 0.000 4.138
```

Results
- Formation energy: 0.28 eV per formula unit
- Space group: I-4m2 (119)



Density functional theory data (PBEsol) for Li4Cr2TeWO12 after structural relaxation.

Structure (POSCAR):
```
Li4Cr2TeWO12
1.0
5.008 0.000 0.000
0.005 5.252 0.000
0.009 0.472 7.244
Li Cr Te W O
4 2 1 1 12
Cartesian
0.000 0.000 0.000
0.027 0.243 3.581
2.491 3.068 7.240
2.524 2.875 3.597
2.511 0.736 5.635
5.006 3.096 2.065
0.012 3.367 5.681
2.502 0.478 2.018
0.653 3.343 3.862
0.941 4.762 1.703
1.004 1.807 6.222
1.539 2.143 1.709
1.552 4.458 6.209
1.962 0.676 3.916
3.082 0.458 0.246
3.401 2.411 5.267
3.510 4.217 2.509
4.044 1.613 2.498
4.111 5.059 5.268
4.365 3.114 0.272
```

Results
- Energy relative to the elements, uncorrected: -1.858 eV per atom
- Space group: P1 (1)



Density functional theory data (PBEsol) for TaInS2 after structural relaxation.

Structure (POSCAR):
```
TaInS2
1.0
3.296 0.000 0.000
-1.648 2.854 0.000
0.000 0.000 16.518
Ta In S
2 2 4
Cartesian
0.000 0.000 4.130
0.000 0.000 12.389
0.000 0.000 0.000
0.000 0.000 8.259
0.000 1.903 2.565
0.000 1.903 5.694
1.648 0.951 10.825
1.648 0.951 13.953
```

Results
- Energy relative to the elements, uncorrected: -0.908 eV per atom
- Space group: P6_3/mmc (194)



Density functional theory data (PBEsol) for KTaSb2 after structural relaxation.

Structure (POSCAR):
```
KTaSb2
1.0
-2.569 2.569 3.547
2.569 -2.569 3.547
2.569 2.569 -3.547
K Ta Sb
1 1 2
Cartesian
0.000 0.000 0.000
0.000 0.000 3.547
2.569 0.000 1.773
0.000 2.569 1.773
```

Results
- Energy relative to the elements, uncorrected: 0.412 eV per atom
- Energy above the lowest structure with this stoichiometry: 524 meV per atom
- Space group: I4/mmm (139)



no.,density (g/cm3),density of states at the Fermi level (states/eV per atom)
1,2.7,1.489
2,11.1,0.587
3,6.5,1.237
4,13.0,0.459
5,7.9,0.044
6,14.1,0.767
7,5.1,0.288
8,6.8,0.575
9,2.9,0.636
10,11.0,0.713
11,5.2,0.402
12,3.5,0.000
13,10.0,0.836
14,12.4,0.297
15,9.3,0.480
16,11.7,0.921
17,11.0,0.528
18,5.5,0.370
19,7.7,0.359
20,8.2,1.123